The following is a GGA-PBE calculation of crystalline Mn2Al2Te at its relaxed geometry, from Alexandria via LeMat-Bulk.

Computed properties:
The calculation puts the calculated total energy at -5.56 eV/atom. Its space group is P4/mbm, No. 127. The crystal system is tetragonal. The density of states at the Fermi level comes out at 13.5 states/eV per cell. For the energy relative to the elements, uncorrected, the calculation gives 111 kJ/mol of formula units. The value obtained for the energy above the lowest structure with this stoichiometry is 0.000 eV/atom.

a b c (Å): 6.712 6.712 3.366
angles (deg): 90.00 90.00 90.00
Fractional coordinates of all 10 atoms:
Al 0.361 0.139 0.500
Mn 0.845 0.655 0.000
Al 0.139 0.639 0.500
Mn 0.155 0.345 0.000
Te 0.000 0.000 0.000
Te 0.500 0.500 0.000
Al 0.861 0.361 0.500
Mn 0.655 0.155 0.000
Al 0.639 0.861 0.500
Mn 0.345 0.845 0.000

The following is a GGA-PBE calculation of crystalline MnAl2Te at its relaxed geometry, from Alexandria via LeMat-Bulk.

Computed properties:
The calculation puts the calculated total energy at -4.70 eV/atom. Its space group is Imm2, No. 44. The crystal system is orthorhombic. The density of states at the Fermi level comes out at 2.5 states/eV per cell. For the energy relative to the elements, uncorrected, the calculation gives 97 kJ/mol of formula units.

a b c (Å): 5.247 5.247 5.247
angles (deg): 139.31 124.62 70.95
Each line ends with the local moment (μB).
Fractional coordinates of all 4 atoms:
Al 0.744 0.244 0.500  -0.04
Al 0.989 0.989 0.000  -0.02
Mn 0.512 0.512 0.000  3.44
Te 0.255 0.755 0.500  -0.01

The following is a GGA-PBE calculation of crystalline MnAlTe at its relaxed geometry, from Alexandria via LeMat-Bulk.

Computed properties:
The calculation puts the calculated total energy at -5.13 eV/atom. Its space group is I4mm, No. 107. The crystal system is tetragonal. The density of states at the Fermi level comes out at 1.5 states/eV per cell. For the energy relative to the elements, uncorrected, the calculation gives 63 kJ/mol of formula units. The value obtained for the energy above the lowest structure with this stoichiometry is 0.070 eV/atom.

a b c (Å): 6.376 6.376 3.054
angles (deg): 76.14 76.14 27.72
Fractional coordinates of all 3 atoms:
Mn 0.336 0.336 0.664
Te 0.709 0.709 0.291
Al 0.955 0.955 0.045

The following is a GGA-PBE calculation of crystalline MnAlTe2 at its relaxed geometry, from Alexandria via LeMat-Bulk.

Computed properties:
The calculation puts the calculated total energy at -4.92 eV/atom. Its space group is P4mm, No. 99. The crystal system is tetragonal. The density of states at the Fermi level comes out at 2.2 states/eV per cell. For the energy relative to the elements, uncorrected, the calculation gives -46 kJ/mol of formula units.

a b c (Å): 4.097 4.098 5.857
angles (deg): 90.00 90.00 90.00
Each line ends with the local moment (μB).
Fractional coordinates of all 4 atoms:
Te 0.000 0.000 0.875  0.01
Mn 0.500 0.500 0.875  4.13
Al 0.000 0.000 0.376  -0.04
Te 0.500 0.500 0.375  0.03

The following is a GGA-PBE calculation of crystalline MnAlTe2 at its relaxed geometry, from Alexandria via LeMat-Bulk.

Computed properties:
The calculation puts the calculated total energy at -4.94 eV/atom. Its space group is R-3m, No. 166. The crystal system is trigonal. The density of states at the Fermi level comes out at 1.4 states/eV per cell. For the energy relative to the elements, uncorrected, the calculation gives -56 kJ/mol of formula units.

a b c (Å): 4.073 4.073 7.222
angles (deg): 73.62 73.62 60.00
Each line ends with the local moment (μB).
Fractional coordinates of all 4 atoms:
Te 0.999 0.999 0.003  0.02
Te 0.501 0.501 0.497  0.02
Al 0.750 0.750 0.750  -0.03
Mn 0.250 0.250 0.250  4.05

The following is a GGA-PBE calculation of crystalline MnAl2Te at its relaxed geometry, from Alexandria via LeMat-Bulk.

Computed properties:
The calculation puts the calculated total energy at -4.66 eV/atom. Its space group is P4/mmm, No. 123. The crystal system is tetragonal. The density of states at the Fermi level comes out at 2.0 states/eV per cell. For the energy relative to the elements, uncorrected, the calculation gives 111 kJ/mol of formula units.

a b c (Å): 4.652 4.652 3.613
angles (deg): 90.00 90.00 90.00
Each line ends with the local moment (μB).
Fractional coordinates of all 4 atoms:
Al 0.000 0.000 0.000  -0.02
Te 0.000 0.500 0.500  -0.01
Mn 0.500 0.000 0.500  3.68
Al 0.500 0.500 0.000  -0.02

Look up the energy relative to the elements, uncorrected of the third one.
63 kJ/mol of formula units

Repeat the first record exactly.
The following is a GGA-PBE calculation of crystalline Mn2Al2Te at its relaxed geometry, from Alexandria via LeMat-Bulk.

Computed properties:
The calculation puts the calculated total energy at -5.56 eV/atom. Its space group is P4/mbm, No. 127. The crystal system is tetragonal. The density of states at the Fermi level comes out at 13.5 states/eV per cell. For the energy relative to the elements, uncorrected, the calculation gives 111 kJ/mol of formula units. The value obtained for the energy above the lowest structure with this stoichiometry is 0.000 eV/atom.

a b c (Å): 6.712 6.712 3.366
angles (deg): 90.00 90.00 90.00
Fractional coordinates of all 10 atoms:
Al 0.361 0.139 0.500
Mn 0.845 0.655 0.000
Al 0.139 0.639 0.500
Mn 0.155 0.345 0.000
Te 0.000 0.000 0.000
Te 0.500 0.500 0.000
Al 0.861 0.361 0.500
Mn 0.655 0.155 0.000
Al 0.639 0.861 0.500
Mn 0.345 0.845 0.000